## Sr3VBr2F6 (GGA+U)

Data for a relaxed structure of Sr3VBr2F6.

The structure in CIF format:
```
data_Sr3VBr2F6
_symmetry_space_group_name_H-M 'C 1 2/m 1'
_symmetry_Int_Tables_number 12
_cell_length_a 12.958
_cell_length_b 7.305
_cell_length_c 5.764
_cell_angle_alpha 90.00
_cell_angle_beta 99.20
_cell_angle_gamma 90.00
loop_
_symmetry_equiv_pos_as_xyz
'x,y,z'
'-x,-y,-z'
'-x,y,-z'
'x,-y,z'
'x+1/2,y+1/2,z'
'-x+1/2,-y+1/2,-z'
'-x+1/2,y+1/2,-z'
'x+1/2,-y+1/2,z'
loop_
_atom_site_label
_atom_site_type_symbol
_atom_site_fract_x
_atom_site_fract_y
_atom_site_fract_z
_atom_site_occupancy
Sr1 Sr 0.000 0.000 0.000 1
Sr2 Sr 0.250 0.250 0.500 1
V1 V 0.000 0.500 0.500 1
Br1 Br 0.214 0.000 0.887 1
F1 F 0.062 0.254 0.306 1
F2 F 0.159 0.500 0.636 1
```

Energy   -125.6 eV/cell
N(E_F)   0.00 states/eV per cell
Crystal system   monoclinic